VASP calculation (PBE) on a geometry-optimized SrBr2 structure.

Structure (POSCAR):
```
SrBr2
1.0
-3.954 2.818 2.206
0.635 -5.142 1.263
4.567 1.959 5.682
Br Sr
4 2
Cartesian
0.000 0.000 0.000 Br
1.001 1.634 6.153 Br
2.283 0.980 2.841 Br
0.247 -1.999 2.998 Br
-1.282 0.655 3.312 Sr
2.531 -1.019 5.839 Sr
```

Summary:
Theoretical density   4.42 g/cm3
N(E_F)   0.0000 states/eV per atom
Total DFT energy (no corrections)   -21.7 eV/cell
Magnetization   0.0 Bohr magnetons per cell
Formation energy from raw total energies   -1933 meV/atom

---

VASP calculation (PBE) on a geometry-optimized SrBr2 structure.

Structure (POSCAR):
```
SrBr2
1.0
7.585 0.000 0.000
0.000 7.585 0.000
0.000 0.000 7.585
Br Sr
8 4
Cartesian
1.214 5.007 1.214 Br
2.578 1.214 1.214 Br
2.578 2.578 5.007 Br
6.370 2.578 6.370 Br
5.007 6.370 6.370 Br
1.214 6.370 5.007 Br
6.370 1.214 2.578 Br
5.007 5.007 2.578 Br
3.792 3.792 0.000 Sr
0.000 0.000 0.000 Sr
3.792 0.000 3.792 Sr
0.000 3.792 3.792 Sr
```

Summary:
Theoretical density   3.77 g/cm3
N(E_F)   0.0000 states/eV per atom
Total DFT energy (no corrections)   -45.3 eV/cell
Magnetization   0.0 Bohr magnetons per cell
Formation energy from raw total energies   -2097 meV/atom